Entry 1:
! ErBe2Os, optimized geometry, DFT PBE; values from VASP
! E_form: -0.185 eV per atom
! Space-group type: R-3m, No. 166
! Uncorrected energy: -5.9962 eV/atom
&SYSTEM
  ibrav = 0, nat = 4, ntyp = 3
/
ATOMIC_SPECIES
Be 9.01 Be.upf
Os 190.23 Os.upf
Er 167.26 Er.upf
CELL_PARAMETERS angstrom
3.882 0.000 0.000
1.941 3.362 0.000
1.941 1.121 4.702
ATOMIC_POSITIONS angstrom
Be 5.822 3.362 2.779
Be 1.941 1.121 1.923
Os 3.882 2.241 2.351
Er 0.000 0.000 0.000

---

Entry 2:
! Sc2HgCl, optimized geometry, DFT PBE; values from VASP
! ΔE_f (raw): -0.456 eV/atom
! Energy relative to the lowest polymorph listed for this composition: 1.35 eV/f.u.
! Space-group type: Fm-3m, No. 225
! Uncorrected energy: -4.1585 eV/atom
&SYSTEM
  ibrav = 0, nat = 4, ntyp = 3
/
ATOMIC_SPECIES
Sc 44.96 Sc.upf
Hg 200.59 Hg.upf
Cl 35.45 Cl.upf
CELL_PARAMETERS angstrom
0.000 3.498 3.498
3.498 0.000 3.498
3.498 3.498 0.000
ATOMIC_POSITIONS angstrom
Sc 1.749 1.749 1.749
Sc 5.247 5.247 5.247
Hg 3.498 3.498 3.498
Cl 0.000 0.000 0.000

---

Entry 3:
! Hf2TaV, optimized geometry, DFT PBE; values from VASP
! Energy relative to the lowest polymorph listed for this composition: 2.11 eV/f.u.
! E_form: 0.705 eV per atom
! Space-group type: I-42d, No. 122
! Uncorrected energy: -9.5146 eV/atom
&SYSTEM
  ibrav = 0, nat = 8, ntyp = 3
/
ATOMIC_SPECIES
Ta 180.95 Ta.upf
Hf 178.49 Hf.upf
V 50.94 V.upf
CELL_PARAMETERS angstrom
-3.091 6.785 -0.191
-4.343 -1.816 5.786
-1.728 3.441 4.591
ATOMIC_POSITIONS angstrom
Ta 0.000 0.000 0.000
Ta -4.268 6.356 3.599
Hf -2.852 4.753 1.755
Hf -3.588 0.695 4.737
Hf -4.162 4.412 5.645
Hf -7.723 6.962 8.235
V -3.717 2.485 2.797
V -4.894 2.055 6.587

---

Entry 4:
! CaZrC3, optimized geometry, DFT PBE; values from VASP
! Energy relative to the lowest polymorph listed for this composition: 0.00 eV/f.u.
! E_form: 1.258 eV per atom
! Space-group type: Pm-3m, No. 221
! Uncorrected energy: -6.3862 eV/atom
&SYSTEM
  ibrav = 0, nat = 5, ntyp = 3
/
ATOMIC_SPECIES
Ca 40.08 Ca.upf
C 12.01 C.upf
Zr 91.22 Zr.upf
CELL_PARAMETERS angstrom
4.350 0.000 0.000
0.000 4.350 0.000
0.000 0.000 4.350
ATOMIC_POSITIONS angstrom
Ca 2.175 2.175 2.175
C 0.000 2.175 0.000
C 0.000 0.000 2.175
C 2.175 0.000 0.000
Zr 0.000 0.000 0.000

---

Entry 5:
! Li2BeRh, optimized geometry, DFT PBE; values from VASP
! E_form: 0.043 eV per atom
! Space-group type: P4/mmm, No. 123
! Uncorrected energy: -3.6831 eV/atom
&SYSTEM
  ibrav = 0, nat = 4, ntyp = 3
/
ATOMIC_SPECIES
Be 9.01 Be.upf
Li 6.94 Li.upf
Rh 102.91 Rh.upf
CELL_PARAMETERS angstrom
3.218 0.000 0.000
0.000 3.218 0.000
0.000 0.000 4.670
ATOMIC_POSITIONS angstrom
Be 1.609 1.609 3.502
Li 0.000 0.000 0.004
Li 0.000 0.000 2.331
Rh 1.609 1.609 1.167

---

Entry 6:
! Pa2Pd5Pt, optimized geometry, DFT PBE; values from VASP
! Energy relative to the lowest polymorph listed for this composition: 0.00 eV/f.u.
! E_form: -0.781 eV per atom
! Space-group type: P2/c, No. 13
! Uncorrected energy: -7.1553 eV/atom
&SYSTEM
  ibrav = 0, nat = 32, ntyp = 3
/
ATOMIC_SPECIES
Pa 231.04 Pa.upf
Pd 106.42 Pd.upf
Pt 195.08 Pt.upf
CELL_PARAMETERS angstrom
-4.020 0.237 3.971
-5.959 -10.683 -5.396
0.171 -4.391 8.504
ATOMIC_POSITIONS angstrom
Pa -4.765 -10.815 5.929
Pa -5.042 -4.022 1.150
Pa -8.336 -11.145 2.327
Pa -1.472 -3.691 4.752
Pa -1.786 -5.474 8.627
Pa -8.022 -9.363 -1.548
Pa -5.356 -5.804 5.026
Pa -4.451 -9.033 2.054
Pd -5.479 -11.485 3.203
Pd -4.329 -3.352 3.876
Pd -7.308 -8.694 1.178
Pd -2.499 -6.143 5.902
Pd -4.066 -6.603 0.307
Pd -5.741 -8.234 6.772
Pd -8.720 -13.575 4.073
Pd -1.087 -1.262 3.007
Pd -6.304 -11.337 0.383
Pd -3.504 -3.500 6.696
Pd -6.725 -10.719 7.982
Pd -3.083 -4.118 -0.903
Pd -6.484 -8.842 3.998
Pd -3.324 -5.995 3.081
Pd -6.062 -9.459 -3.600
Pd -3.745 -5.378 10.679
Pd -6.714 -13.701 2.084
Pd -3.094 -1.136 4.995
Pd -6.072 -6.478 2.297
Pd -3.736 -8.358 4.782
Pt -7.483 -11.356 5.194
Pt -2.324 -3.480 1.885
Pt -5.304 -8.822 -0.813
Pt -4.504 -6.015 7.892

---

Entry 7:
! NaErZn2Ge2, optimized geometry, DFT PBE; values from VASP
! E_form: -0.375 eV per atom
! Space-group type: P-3m1, No. 164
! Uncorrected energy: -3.3187 eV/atom
&SYSTEM
  ibrav = 0, nat = 6, ntyp = 4
/
ATOMIC_SPECIES
Na 22.99 Na.upf
Er 167.26 Er.upf
Zn 65.41 Zn.upf
Ge 72.64 Ge.upf
CELL_PARAMETERS angstrom
-2.450 -1.862 2.948
4.214 -0.634 0.021
0.932 6.352 4.786
ATOMIC_POSITIONS angstrom
Na 0.000 0.000 0.000
Er 0.466 3.176 2.393
Zn 2.683 3.658 4.539
Zn 0.014 0.197 3.215
Ge 2.250 0.710 2.318
Ge 0.446 3.146 5.437

---

Entry 8:
! Fe2Se, optimized geometry, DFT PBE; values from VASP
! ΔE_f (raw): 0.143 eV/atom
! Energy relative to the lowest polymorph listed for this composition: 0.85 eV/f.u.
! Space-group type: P-62m, No. 189
! Uncorrected energy: -6.6605 eV/atom
&SYSTEM
  ibrav = 0, nat = 9, ntyp = 2
/
ATOMIC_SPECIES
Fe 55.84 Fe.upf
Se 78.96 Se.upf
CELL_PARAMETERS angstrom
2.985 -5.171 0.000
2.985 5.171 0.000
0.000 0.000 3.647
ATOMIC_POSITIONS angstrom
Fe 0.776 -1.343 0.000
Fe 0.776 1.343 0.000
Fe 4.420 0.000 0.000
Fe 1.800 -3.117 1.824
Fe 1.800 3.117 1.824
Fe 2.371 0.000 1.824
Se 2.985 1.724 0.000
Se 2.985 -1.724 0.000
Se 0.000 0.000 1.824

---

Entry 9:
! MgCdRe, optimized geometry, DFT PBE; values from VASP
! Energy relative to the lowest polymorph listed for this composition: 0.11 eV/f.u.
! E_form: 0.432 eV per atom
! Space-group type: I4mm, No. 107
! Uncorrected energy: -4.5538 eV/atom
&SYSTEM
  ibrav = 0, nat = 3, ntyp = 3
/
ATOMIC_SPECIES
Cd 112.41 Cd.upf
Mg 24.30 Mg.upf
Re 186.21 Re.upf
CELL_PARAMETERS angstrom
7.169 -0.003 0.000
6.086 3.790 0.000
-6.627 -1.894 1.972
ATOMIC_POSITIONS angstrom
Cd 0.065 0.019 0.000
Mg 4.289 1.226 0.000
Re 8.901 2.544 0.000

---

Entry 10:
! Pm3Si2Rh, optimized geometry, DFT PBE; values from VASP
! ΔE_f (raw): -0.780 eV/atom
! Energy relative to the lowest polymorph listed for this composition: 0.00 eV/f.u.
! Space-group type: Pnma, No. 62
! Uncorrected energy: -6.1883 eV/atom
&SYSTEM
  ibrav = 0, nat = 24, ntyp = 3
/
ATOMIC_SPECIES
Pm 145.00 Pm.upf
Si 28.09 Si.upf
Rh 102.91 Rh.upf
CELL_PARAMETERS angstrom
4.267 0.000 0.000
0.000 11.496 0.000
0.000 0.000 11.846
ATOMIC_POSITIONS angstrom
Pm 1.067 4.309 0.665
Pm 3.200 7.186 11.182
Pm 3.200 10.057 5.259
Pm 1.067 1.438 6.588
Pm 1.067 8.028 2.550
Pm 3.200 3.468 9.297
Pm 3.200 2.280 3.373
Pm 1.067 9.216 8.473
Pm 1.067 5.094 4.503
Pm 3.200 6.402 7.344
Pm 3.200 10.841 1.421
Pm 1.067 0.654 10.426
Si 1.067 7.885 5.666
Si 3.200 3.610 6.181
Si 3.200 2.138 0.258
Si 1.067 9.358 11.589
Si 1.067 0.037 3.621
Si 3.200 11.458 8.225
Si 3.200 5.785 2.302
Si 1.067 5.710 9.544
Rh 1.067 1.538 1.548
Rh 3.200 9.958 10.298
Rh 3.200 7.286 4.375
Rh 1.067 4.210 7.472

---

Entry 11:
! TaAu, optimized geometry, DFT PBE; values from VASP
! E_form: -0.019 eV per atom
! Space-group type: P4/mmm, No. 123
! Uncorrected energy: -7.5839 eV/atom
&SYSTEM
  ibrav = 0, nat = 2, ntyp = 2
/
ATOMIC_SPECIES
Ta 180.95 Ta.upf
Au 196.97 Au.upf
CELL_PARAMETERS angstrom
2.925 0.000 0.000
0.000 2.925 0.000
0.000 0.000 4.140
ATOMIC_POSITIONS angstrom
Ta 1.462 1.462 2.070
Au 0.000 0.000 0.000

---

Entry 12:
! GaBi2F8, optimized geometry, DFT PBE; values from VASP
! ΔE_f (raw): -2.307 eV/atom
! Space-group type: C2/m, No. 12
! Uncorrected energy: -4.6490 eV/atom
&SYSTEM
  ibrav = 0, nat = 11, ntyp = 3
/
ATOMIC_SPECIES
Ga 69.72 Ga.upf
Bi 208.98 Bi.upf
F 19.00 F.upf
CELL_PARAMETERS angstrom
-3.842 1.982 -2.650
-2.472 -1.996 5.160
1.358 4.149 4.203
ATOMIC_POSITIONS angstrom
Ga 0.000 0.000 0.000
Bi -2.895 2.031 1.452
Bi -2.061 2.104 5.262
F -2.061 4.206 1.152
F -0.476 3.810 4.957
F -3.101 1.783 -0.963
F -1.855 2.352 7.677
F -4.480 0.325 1.757
F -2.895 -0.071 5.562
F -0.964 1.140 3.465
F -3.992 2.994 3.249

---

Entry 13:
! CaCePm4S8, optimized geometry, DFT PBE; values from VASP
! ΔE_f (raw): -1.960 eV/atom
! Space-group type: R3m, No. 160
! Uncorrected energy: -6.2426 eV/atom
&SYSTEM
  ibrav = 0, nat = 14, ntyp = 4
/
ATOMIC_SPECIES
Ca 40.08 Ca.upf
Ce 140.12 Ce.upf
Pm 145.00 Pm.upf
S 32.06 S.upf
CELL_PARAMETERS angstrom
8.294 0.000 0.000
4.147 7.183 0.000
4.147 2.394 6.805
ATOMIC_POSITIONS angstrom
Ca 8.294 4.788 5.952
Ce 4.147 2.394 6.778
Pm 8.294 4.788 0.851
Pm 4.147 4.756 3.413
Pm 6.192 1.214 3.413
Pm 2.102 1.214 3.413
S 8.294 7.348 5.030
S 10.510 3.509 5.030
S 6.077 3.509 5.030
S 4.147 2.394 1.877
S 8.294 2.249 1.770
S 6.095 6.058 1.770
S 10.493 6.058 1.770
S 12.441 7.183 4.944

---

Entry 14:
! ErCuRh2, optimized geometry, DFT PBE; values from VASP
! E_form: -0.446 eV per atom
! Space-group type: Fm-3m, No. 225
! Uncorrected energy: -6.2866 eV/atom
&SYSTEM
  ibrav = 0, nat = 4, ntyp = 3
/
ATOMIC_SPECIES
Rh 102.91 Rh.upf
Cu 63.55 Cu.upf
Er 167.26 Er.upf
CELL_PARAMETERS angstrom
-3.934 -2.185 -0.148
-1.721 -1.795 3.754
-3.658 1.819 1.893
ATOMIC_POSITIONS angstrom
Rh -2.328 -0.540 1.375
Rh -6.984 -1.620 4.124
Cu -4.656 -1.080 2.749
Er 0.000 0.000 0.000

---

Entry 15:
! LiMg2P, optimized geometry, DFT PBE; values from VASP
! E_form: -0.179 eV per atom
! Space-group type: P-43m, No. 215
! Uncorrected energy: -2.8073 eV/atom
&SYSTEM
  ibrav = 0, nat = 16, ntyp = 3
/
ATOMIC_SPECIES
P 30.97 P.upf
Mg 24.30 Mg.upf
Li 6.94 Li.upf
CELL_PARAMETERS angstrom
6.694 0.000 0.000
0.000 6.694 0.000
0.000 0.000 6.694
ATOMIC_POSITIONS angstrom
P 0.000 0.000 0.000
P 3.347 0.000 0.000
P 0.000 3.347 0.000
P 0.000 0.000 3.347
Mg 3.347 3.347 3.347
Mg 0.000 3.347 3.347
Mg 3.347 0.000 3.347
Mg 3.347 3.347 0.000
Mg 1.494 1.494 1.494
Mg 5.199 5.199 1.494
Mg 5.199 1.494 5.199
Mg 1.494 5.199 5.199
Li 5.189 5.189 5.189
Li 1.505 1.505 5.189
Li 1.505 5.189 1.505
Li 5.189 1.505 1.505

---

Entry 16:
! CoHg2Pb, optimized geometry, DFT PBE; values from VASP
! E_form: 0.389 eV per atom
! Space-group type: I-42d, No. 122
! Uncorrected energy: -2.4659 eV/atom
&SYSTEM
  ibrav = 0, nat = 8, ntyp = 3
/
ATOMIC_SPECIES
Pb 207.20 Pb.upf
Co 58.93 Co.upf
Hg 200.59 Hg.upf
CELL_PARAMETERS angstrom
8.766 0.000 0.000
0.000 8.766 0.000
4.383 4.383 2.545
ATOMIC_POSITIONS angstrom
Pb 0.000 0.000 0.000
Pb 8.766 4.383 1.273
Co 4.383 4.383 0.000
Co 4.383 8.766 1.273
Hg 5.687 2.191 0.636
Hg 3.079 6.574 0.636
Hg 6.574 7.462 1.909
Hg 10.957 10.070 1.909

---

Entry 17:
! TaRe2B, optimized geometry, DFT PBE; values from VASP
! E_form: -0.414 eV per atom
! Space-group type: Cmcm, No. 63
! Uncorrected energy: -11.2708 eV/atom
&SYSTEM
  ibrav = 0, nat = 8, ntyp = 3
/
ATOMIC_SPECIES
Ta 180.95 Ta.upf
Re 186.21 Re.upf
B 10.81 B.upf
CELL_PARAMETERS angstrom
-2.372 1.812 -0.817
-0.355 -4.259 -2.553
-4.030 -2.866 5.340
ATOMIC_POSITIONS angstrom
Ta -3.533 -2.725 -1.649
Ta -3.224 -2.588 3.618
Re -3.333 -3.985 0.838
Re -3.423 -1.328 1.131
Re -4.915 -5.110 2.935
Re -1.841 -0.203 -0.966
B -5.039 -3.051 2.000
B -1.718 -2.262 -0.030

---

Entry 18:
! PmGaNi3, optimized geometry, DFT PBE; values from VASP
! Energy relative to the lowest polymorph listed for this composition: 0.00 eV/f.u.
! E_form: -0.303 eV per atom
! Space-group type: Imma, No. 74
! Uncorrected energy: -5.3273 eV/atom
&SYSTEM
  ibrav = 0, nat = 10, ntyp = 3
/
ATOMIC_SPECIES
Pm 145.00 Pm.upf
Ga 69.72 Ga.upf
Ni 58.69 Ni.upf
CELL_PARAMETERS angstrom
-4.981 -0.853 -0.236
-1.554 -4.979 -3.447
-2.430 -2.278 5.290
ATOMIC_POSITIONS angstrom
Pm -1.992 -3.628 0.922
Pm -2.491 -0.426 -0.118
Ga -4.760 -2.369 0.559
Ga -4.206 -5.741 1.048
Ni -7.182 -4.050 3.529
Ni -4.380 -4.160 -0.986
Ni -4.585 -3.950 2.593
Ni -1.783 -4.059 -1.922
Ni -1.215 -1.139 2.645
Ni -3.706 -1.565 2.527

---

Entry 19:
! Si3Tc, optimized geometry, DFT PBE; values from VASP
! ΔE_f (raw): -0.001 eV/atom
! Energy relative to the lowest polymorph listed for this composition: 0.73 eV/f.u.
! Space-group type: P4/mmm, No. 123
! Uncorrected energy: -6.6602 eV/atom
&SYSTEM
  ibrav = 0, nat = 4, ntyp = 2
/
ATOMIC_SPECIES
Si 28.09 Si.upf
Tc 98.00 Tc.upf
CELL_PARAMETERS angstrom
-1.370 1.955 2.164
-2.755 -1.652 -0.250
1.524 -3.112 3.777
ATOMIC_POSITIONS angstrom
Si -0.935 -2.150 3.750
Si 0.762 -1.556 1.889
Si -1.665 -0.659 1.941
Tc 0.000 0.000 0.000

---

Entry 20:
! DyZr2Mo, optimized geometry, DFT PBE; values from VASP
! Energy relative to the lowest polymorph listed for this composition: 0.00 eV/f.u.
! E_form: 0.067 eV per atom
! Space-group type: P4/mmm, No. 123
! Uncorrected energy: -8.0658 eV/atom
&SYSTEM
  ibrav = 0, nat = 4, ntyp = 3
/
ATOMIC_SPECIES
Mo 95.94 Mo.upf
Zr 91.22 Zr.upf
Dy 162.50 Dy.upf
CELL_PARAMETERS angstrom
-3.322 0.290 0.852
-0.735 -2.755 -1.927
1.167 -4.582 6.108
ATOMIC_POSITIONS angstrom
Mo -2.028 -1.233 -0.537
Zr 0.934 -3.669 4.890
Zr 0.233 -0.914 1.218
Dy -1.445 -3.524 2.517